No. 1
{
  "formula": "MnTcAuSe2",
  "functional": "PBE",
  "state": "relaxed",
  "sg": "No. 123",
  "rho_g_cm3": 6.90,
  "magnetic_moment_mub_per_cell": 0.02,
  "formation_energy_uncorrected_ev_per_atom": 2.018,
  "lattice_angstrom": [[4.9738, 0.0000, 0.0000], [0.0000, 4.9738, 0.0000], [0.0000, 0.0000, 4.9422]],
  "species": ["Mn", "Tc", "Au", "Se", "Se"],
  "frac_coords": [[0.0000, 0.0000, 0.0000], [0.5000, 0.5000, 0.0000], [0.5000, 0.5000, 0.5000], [0.0000, 0.5000, 0.5000], [0.5000, 0.0000, 0.5000]]
}

***

No. 2
{
  "formula": "CaNi4As3",
  "functional": "PBE",
  "state": "relaxed",
  "sg": "No. 123",
  "formation_energy_ev_per_fu": -3.95,
  "rho_g_cm3": 6.67,
  "magnetic_moment_mub_per_cell": 0.00,
  "lattice_angstrom": [[4.0289, 0.0000, 0.0000], [0.0000, 4.0289, 0.0000], [0.0000, 0.0000, 7.6671]],
  "species": ["Ca", "Ni", "Ni", "Ni", "Ni", "As", "As", "As"],
  "frac_coords": [[0.0000, 0.0000, 0.0000], [0.0000, 0.5000, 0.3285], [0.0000, 0.5000, 0.6715], [0.5000, 0.0000, 0.3285], [0.5000, 0.0000, 0.6715], [0.0000, 0.0000, 0.5000], [0.5000, 0.5000, 0.1711], [0.5000, 0.5000, 0.8289]]
}